Entry 1:
Below is a geometry-optimized PmIn3Ni2 structure, with properties calculated at the PBE-GGA level.

a b c (Å): 17.2474 4.3477 10.5588
angles (deg): 90.00 109.53 90.00
With the nearest neighbours (Å) after each atom.
Space group C2/m (No. 12)
Inequivalent atoms, fractional coordinates:
Pm 0.0000 0.0000 0.0000 x2  6 Ni 3.25-3.30, 6 In 3.27-3.42
Pm 0.1575 0.0000 0.7014 x4  9 In 3.32-3.66, 6 Ni 3.33-3.49
In 0.0000 0.5000 0.5000 x2  4 Ni 2.57-2.84
In 0.0422 0.0000 0.3408 x4  4 Ni 2.57-2.68
In 0.1271 0.5000 0.1919 x4  4 Ni 2.60-2.71, 1 In 2.88
In 0.1713 0.5000 0.9520 x4  4 Ni 2.62-2.78, 1 In 2.88
In 0.2218 0.0000 0.3892 x4  4 Ni 2.54-2.82
Ni 0.0217 0.5000 0.7787 x4  5 In 2.57-2.84
Ni 0.1332 0.5000 0.4416 x4  7 In 2.54-2.82
Ni 0.1997 0.0000 0.1260 x4  6 In 2.62-2.78

Computed properties:
Excess energy over the best structure of this formula in the dataset   0.014 eV/atom
VASP energy   -4.360 eV per atom
Theoretical density   8.10 Mg/m³
Total magnetic moment   0.000 μB/atom

=====

Entry 2:
Below is a geometry-optimized AlCu3Re structure, with properties calculated at the PBE-GGA level.

a b c (Å): 4.6747 4.6747 4.6747
angles (deg): 90.00 90.00 90.00
With the nearest neighbours (Å) after each atom.
Space group Pm-3m (No. 221)
Inequivalent atoms, fractional coordinates:
Al 0.0000 0.0000 0.0000 x1  12 Cu 3.31
Cu 0.0000 0.5000 0.5000 x3  2 Re 2.34
Re 0.5000 0.5000 0.5000 x1  6 Cu 2.34

Computed properties:
Excess energy over the best structure of this formula in the dataset   0.190 eV/atom
VASP energy   -4.198 eV per atom
Theoretical density   6.56 Mg/m³
Total magnetic moment   0.255 μB/atom

=====

Computed formation enthalpy at 0 K, in the same sequence as the records: -1.63, 7.49 eV/f.u..